Density functional theory data (PBE) for a geometry-optimized BaSiAgTe4Au structure.

## Properties
space-group type = No. 5

Cell lengths 10.829, 8.918, 7.382 Å; angles 90.00, 131.73, 90.00 degrees
Positions (direct):
Ba: 0.000 0.000 0.000
Ba: 0.500 0.500 0.000
Si: 0.000 0.497 0.000
Si: 0.500 0.997 0.000
Ag: 0.000 0.330 0.500
Ag: 0.500 0.830 0.500
Te: 0.184 0.662 0.382
Te: 0.188 0.333 0.994
Te: 0.312 0.833 0.006
Te: 0.316 0.162 0.618
Te: 0.684 0.162 0.382
Te: 0.688 0.833 0.994
Te: 0.812 0.333 0.006
Te: 0.816 0.662 0.618
Au: 0.000 0.666 0.500
Au: 0.500 0.166 0.500

---

Density functional theory data (PBE) for a geometry-optimized BaAgTe3Au structure.

## Properties
space-group type = No. 63

Cell lengths 6.870, 6.870, 11.617 Å; angles 90.00, 90.00, 139.91 degrees
Positions (direct):
Ba: 0.232 0.768 0.750
Ba: 0.768 0.232 0.250
Ag: 0.457 0.543 0.250
Ag: 0.543 0.457 0.750
Te: 0.064 0.936 0.250
Te: 0.357 0.643 0.024
Te: 0.357 0.643 0.476
Te: 0.643 0.357 0.524
Te: 0.643 0.357 0.976
Te: 0.936 0.064 0.750
Au: 0.000 0.000 0.000
Au: 0.000 0.000 0.500

---

Density functional theory data (PBE) for a geometry-optimized Be2AgAu structure.

## Properties
space-group type = No. 216

Cell lengths 6.056, 6.056, 6.056 Å; angles 90.00, 90.00, 90.00 degrees
Positions (direct):
Be: 0.000 0.000 0.000
Be: 0.000 0.500 0.500
Be: 0.250 0.250 0.250
Be: 0.250 0.750 0.750
Be: 0.500 0.000 0.500
Be: 0.500 0.500 0.000
Be: 0.750 0.250 0.750
Be: 0.750 0.750 0.250
Ag: 0.000 0.000 0.500
Ag: 0.000 0.500 0.000
Ag: 0.500 0.000 0.000
Ag: 0.500 0.500 0.500
Au: 0.250 0.250 0.750
Au: 0.250 0.750 0.250
Au: 0.750 0.250 0.250
Au: 0.750 0.750 0.750

---

Density functional theory data (PBE) for a geometry-optimized Be2AgAu2 structure.

## Properties
space-group type = No. 127
relative energy among the computed polymorphs = 0.000 eV/atom

Cell lengths 6.889, 6.889, 2.921 Å; angles 90.00, 90.00, 90.00 degrees
Positions (direct):
Be: 0.132 0.368 0.000
Be: 0.368 0.868 0.000
Be: 0.632 0.132 0.000
Be: 0.868 0.632 0.000
Ag: 0.000 0.000 0.000
Ag: 0.500 0.500 0.000
Au: 0.158 0.658 0.500
Au: 0.342 0.158 0.500
Au: 0.658 0.842 0.500
Au: 0.842 0.342 0.500

---

Density functional theory data (PBE) for a geometry-optimized BeAgAu structure.

## Properties
space-group type = No. 216
relative energy among the computed polymorphs = 0.000 eV/atom

Cell lengths 5.741, 5.741, 5.741 Å; angles 90.00, 90.00, 90.00 degrees
Positions (direct):
Be: 0.000 0.000 0.000
Be: 0.000 0.500 0.500
Be: 0.500 0.000 0.500
Be: 0.500 0.500 0.000
Ag: 0.250 0.250 0.750
Ag: 0.250 0.750 0.250
Ag: 0.750 0.250 0.250
Ag: 0.750 0.750 0.750
Au: 0.250 0.250 0.250
Au: 0.250 0.750 0.750
Au: 0.750 0.250 0.750
Au: 0.750 0.750 0.250

---

Density functional theory data (PBE) for a geometry-optimized Be2AgAu2 structure.

## Properties
space-group type = No. 139
relative energy among the computed polymorphs = 0.057 eV/atom

Cell lengths 3.589, 3.589, 11.469 Å; angles 90.00, 90.00, 90.00 degrees
Positions (direct):
Be: 0.000 0.500 0.250
Be: 0.000 0.500 0.750
Be: 0.500 0.000 0.250
Be: 0.500 0.000 0.750
Ag: 0.000 0.000 0.000
Ag: 0.500 0.500 0.500
Au: 0.000 0.000 0.379
Au: 0.000 0.000 0.621
Au: 0.500 0.500 0.121
Au: 0.500 0.500 0.879

---

Density functional theory data (PBE) for a geometry-optimized BeAgPbAu structure.

## Properties
space-group type = No. 216
relative energy among the computed polymorphs = 0.000 eV/atom

Cell lengths 6.722, 6.722, 6.722 Å; angles 90.00, 90.00, 90.00 degrees
Positions (direct):
Be: 0.000 0.000 0.000
Be: 0.000 0.500 0.500
Be: 0.500 0.000 0.500
Be: 0.500 0.500 0.000
Ag: 0.000 0.000 0.500
Ag: 0.000 0.500 0.000
Ag: 0.500 0.000 0.000
Ag: 0.500 0.500 0.500
Pb: 0.250 0.250 0.750
Pb: 0.250 0.750 0.250
Pb: 0.750 0.250 0.250
Pb: 0.750 0.750 0.750
Au: 0.250 0.250 0.250
Au: 0.250 0.750 0.750
Au: 0.750 0.250 0.750
Au: 0.750 0.750 0.250

---

Density functional theory data (PBE) for a geometry-optimized BeAgPbAu structure.

## Properties
space-group type = No. 216
relative energy among the computed polymorphs = 0.052 eV/atom

Cell lengths 6.764, 6.764, 6.764 Å; angles 90.00, 90.00, 90.00 degrees
Positions (direct):
Be: 0.000 0.000 0.000
Be: 0.000 0.500 0.500
Be: 0.500 0.000 0.500
Be: 0.500 0.500 0.000
Ag: 0.250 0.250 0.250
Ag: 0.250 0.750 0.750
Ag: 0.750 0.250 0.750
Ag: 0.750 0.750 0.250
Pb: 0.250 0.250 0.750
Pb: 0.250 0.750 0.250
Pb: 0.750 0.250 0.250
Pb: 0.750 0.750 0.750
Au: 0.000 0.000 0.500
Au: 0.000 0.500 0.000
Au: 0.500 0.000 0.000
Au: 0.500 0.500 0.500

---

Density functional theory data (PBE) for a geometry-optimized AgBiAu2 structure.

## Properties
space-group type = No. 216

Cell lengths 6.944, 6.944, 6.944 Å; angles 90.00, 90.00, 90.00 degrees
Positions (direct):
Ag: 0.000 0.000 0.000
Ag: 0.000 0.500 0.500
Ag: 0.500 0.000 0.500
Ag: 0.500 0.500 0.000
Bi: 0.250 0.250 0.750
Bi: 0.250 0.750 0.250
Bi: 0.750 0.250 0.250
Bi: 0.750 0.750 0.750
Au: 0.000 0.000 0.500
Au: 0.000 0.500 0.000
Au: 0.250 0.250 0.250
Au: 0.250 0.750 0.750
Au: 0.500 0.000 0.000
Au: 0.500 0.500 0.500
Au: 0.750 0.250 0.750
Au: 0.750 0.750 0.250

---

Density functional theory data (PBE) for a geometry-optimized Ag2BiAu structure.

## Properties
space-group type = No. 216

Cell lengths 6.928, 6.928, 6.928 Å; angles 90.00, 90.00, 90.00 degrees
Positions (direct):
Ag: 0.000 0.000 0.000
Ag: 0.000 0.500 0.500
Ag: 0.250 0.250 0.250
Ag: 0.250 0.750 0.750
Ag: 0.500 0.000 0.500
Ag: 0.500 0.500 0.000
Ag: 0.750 0.250 0.750
Ag: 0.750 0.750 0.250
Bi: 0.000 0.000 0.500
Bi: 0.000 0.500 0.000
Bi: 0.500 0.000 0.000
Bi: 0.500 0.500 0.500
Au: 0.250 0.250 0.750
Au: 0.250 0.750 0.250
Au: 0.750 0.250 0.250
Au: 0.750 0.750 0.750

---

Density functional theory data (PBE) for a geometry-optimized FeAgBiAu structure.

## Properties
space-group type = No. 216
relative energy among the computed polymorphs = 0.000 eV/atom
size of the total moment = 2.7 μB/f.u.

Cell lengths 6.768, 6.768, 6.768 Å; angles 90.00, 90.00, 90.00 degrees
Positions (direct):
Fe: 0.000 0.000 0.000
Fe: 0.000 0.500 0.500
Fe: 0.500 0.000 0.500
Fe: 0.500 0.500 0.000
Ag: 0.000 0.000 0.500
Ag: 0.000 0.500 0.000
Ag: 0.500 0.000 0.000
Ag: 0.500 0.500 0.500
Bi: 0.250 0.250 0.750
Bi: 0.250 0.750 0.250
Bi: 0.750 0.250 0.250
Bi: 0.750 0.750 0.750
Au: 0.250 0.250 0.250
Au: 0.250 0.750 0.750
Au: 0.750 0.250 0.750
Au: 0.750 0.750 0.250

---

Density functional theory data (PBE) for a geometry-optimized Gd2AgBi4Au structure.

## Properties
space-group type = No. 115
size of the total moment = 0.0 μB/f.u.

Cell lengths 4.582, 4.582, 10.119 Å; angles 90.00, 90.00, 90.00 degrees
Positions (direct):
Gd: 0.000 0.500 0.243
Gd: 0.500 0.000 0.757
Ag: 0.000 0.000 0.000
Bi: 0.000 0.000 0.500
Bi: 0.000 0.500 0.807
Bi: 0.500 0.000 0.193
Bi: 0.500 0.500 0.500
Au: 0.500 0.500 0.000

---

Density functional theory data (PBE) for a geometry-optimized KAgBiAu structure.

## Properties
space-group type = No. 216
relative energy among the computed polymorphs = 0.097 eV/atom

Cell lengths 7.361, 7.361, 7.361 Å; angles 90.00, 90.00, 90.00 degrees
Positions (direct):
K: 0.000 0.000 0.000
K: 0.000 0.500 0.500
K: 0.500 0.000 0.500
K: 0.500 0.500 0.000
Ag: 0.250 0.250 0.250
Ag: 0.250 0.750 0.750
Ag: 0.750 0.250 0.750
Ag: 0.750 0.750 0.250
Bi: 0.250 0.250 0.750
Bi: 0.250 0.750 0.250
Bi: 0.750 0.250 0.250
Bi: 0.750 0.750 0.750
Au: 0.000 0.000 0.500
Au: 0.000 0.500 0.000
Au: 0.500 0.000 0.000
Au: 0.500 0.500 0.500

---

Density functional theory data (PBE) for a geometry-optimized KAgBiAu structure.

## Properties
space-group type = No. 216
relative energy among the computed polymorphs = 0.000 eV/atom

Cell lengths 7.429, 7.429, 7.429 Å; angles 90.00, 90.00, 90.00 degrees
Positions (direct):
K: 0.000 0.000 0.000
K: 0.000 0.500 0.500
K: 0.500 0.000 0.500
K: 0.500 0.500 0.000
Ag: 0.250 0.250 0.750
Ag: 0.250 0.750 0.250
Ag: 0.750 0.250 0.250
Ag: 0.750 0.750 0.750
Bi: 0.000 0.000 0.500
Bi: 0.000 0.500 0.000
Bi: 0.500 0.000 0.000
Bi: 0.500 0.500 0.500
Au: 0.250 0.250 0.250
Au: 0.250 0.750 0.750
Au: 0.750 0.250 0.750
Au: 0.750 0.750 0.250

---

Density functional theory data (PBE) for a geometry-optimized KAgBiAu structure.

## Properties
space-group type = No. 216
relative energy among the computed polymorphs = 0.139 eV/atom

Cell lengths 7.394, 7.394, 7.394 Å; angles 90.00, 90.00, 90.00 degrees
Positions (direct):
K: 0.000 0.000 0.000
K: 0.000 0.500 0.500
K: 0.500 0.000 0.500
K: 0.500 0.500 0.000
Ag: 0.000 0.000 0.500
Ag: 0.000 0.500 0.000
Ag: 0.500 0.000 0.000
Ag: 0.500 0.500 0.500
Bi: 0.250 0.250 0.750
Bi: 0.250 0.750 0.250
Bi: 0.750 0.250 0.250
Bi: 0.750 0.750 0.750
Au: 0.250 0.250 0.250
Au: 0.250 0.750 0.750
Au: 0.750 0.250 0.750
Au: 0.750 0.750 0.250

---

Density functional theory data (PBE) for a geometry-optimized LiAgBiAu structure.

## Properties
space-group type = No. 216
relative energy among the computed polymorphs = 0.000 eV/atom

Cell lengths 6.905, 6.905, 6.905 Å; angles 90.00, 90.00, 90.00 degrees
Positions (direct):
Li: 0.000 0.000 0.000
Li: 0.000 0.500 0.500
Li: 0.500 0.000 0.500
Li: 0.500 0.500 0.000
Ag: 0.250 0.250 0.250
Ag: 0.250 0.750 0.750
Ag: 0.750 0.250 0.750
Ag: 0.750 0.750 0.250
Bi: 0.000 0.000 0.500
Bi: 0.000 0.500 0.000
Bi: 0.500 0.000 0.000
Bi: 0.500 0.500 0.500
Au: 0.250 0.250 0.750
Au: 0.250 0.750 0.250
Au: 0.750 0.250 0.250
Au: 0.750 0.750 0.750

---

Density functional theory data (PBE) for a geometry-optimized Li4AgBi2Au structure.

## Properties
space-group type = No. 115

Cell lengths 4.787, 4.787, 6.755 Å; angles 90.00, 90.00, 90.00 degrees
Positions (direct):
Li: 0.000 0.000 0.000
Li: 0.000 0.500 0.241
Li: 0.500 0.000 0.759
Li: 0.500 0.500 0.500
Ag: 0.000 0.000 0.500
Bi: 0.000 0.500 0.748
Bi: 0.500 0.000 0.252
Au: 0.500 0.500 0.000

---

Density functional theory data (PBE) for a geometry-optimized NaAgBiAu structure.

## Properties
space-group type = No. 216
relative energy among the computed polymorphs = 0.045 eV/atom

Cell lengths 7.050, 7.050, 7.050 Å; angles 90.00, 90.00, 90.00 degrees
Positions (direct):
Na: 0.000 0.000 0.000
Na: 0.000 0.500 0.500
Na: 0.500 0.000 0.500
Na: 0.500 0.500 0.000
Ag: 0.250 0.250 0.750
Ag: 0.250 0.750 0.250
Ag: 0.750 0.250 0.250
Ag: 0.750 0.750 0.750
Bi: 0.250 0.250 0.250
Bi: 0.250 0.750 0.750
Bi: 0.750 0.250 0.750
Bi: 0.750 0.750 0.250
Au: 0.000 0.000 0.500
Au: 0.000 0.500 0.000
Au: 0.500 0.000 0.000
Au: 0.500 0.500 0.500

---

Density functional theory data (PBE) for a geometry-optimized NaAgBiAu structure.

## Properties
space-group type = No. 216
relative energy among the computed polymorphs = 0.000 eV/atom

Cell lengths 7.098, 7.098, 7.098 Å; angles 90.00, 90.00, 90.00 degrees
Positions (direct):
Na: 0.000 0.000 0.000
Na: 0.000 0.500 0.500
Na: 0.500 0.000 0.500
Na: 0.500 0.500 0.000
Ag: 0.250 0.250 0.250
Ag: 0.250 0.750 0.750
Ag: 0.750 0.250 0.750
Ag: 0.750 0.750 0.250
Bi: 0.000 0.000 0.500
Bi: 0.000 0.500 0.000
Bi: 0.500 0.000 0.000
Bi: 0.500 0.500 0.500
Au: 0.250 0.250 0.750
Au: 0.250 0.750 0.250
Au: 0.750 0.250 0.250
Au: 0.750 0.750 0.750

---

Density functional theory data (PBE) for a geometry-optimized Rb4AgBi2Au structure.

## Properties
space-group type = No. 12

Cell lengths 8.102, 11.307, 7.052 Å; angles 90.00, 90.16, 90.00 degrees
Positions (direct):
Rb: 0.181 0.169 0.247
Rb: 0.181 0.831 0.247
Rb: 0.319 0.331 0.753
Rb: 0.319 0.669 0.753
Rb: 0.681 0.331 0.247
Rb: 0.681 0.669 0.247
Rb: 0.819 0.169 0.753
Rb: 0.819 0.831 0.753
Ag: 0.000 0.500 0.500
Ag: 0.500 0.000 0.500
Bi: 0.233 0.000 0.751
Bi: 0.267 0.500 0.249
Bi: 0.733 0.500 0.751
Bi: 0.767 0.000 0.249
Au: 0.000 0.500 0.000
Au: 0.500 0.000 0.000

---

Density functional theory data (PBE) for a geometry-optimized AgAuBr structure.

## Properties
space-group type = No. 129

Cell lengths 4.040, 4.040, 7.877 Å; angles 90.00, 90.00, 90.00 degrees
Positions (direct):
Ag: 0.250 0.250 0.227
Ag: 0.750 0.750 0.773
Au: 0.250 0.750 0.500
Au: 0.750 0.250 0.500
Br: 0.250 0.250 0.856
Br: 0.750 0.750 0.144

---

Density functional theory data (PBE) for a geometry-optimized AgAuBr6 structure.

## Properties
space-group type = No. 216

Cell lengths 7.043, 7.043, 7.043 Å; angles 60.00, 60.00, 60.00 degrees
Positions (direct):
Ag: 0.000 0.000 0.000
Au: 0.750 0.750 0.750
Br: 0.258 0.258 0.742
Br: 0.258 0.742 0.258
Br: 0.258 0.742 0.742
Br: 0.742 0.258 0.258
Br: 0.742 0.258 0.742
Br: 0.742 0.742 0.258

---

Density functional theory data (PBE) for a geometry-optimized Cs2AgAuBr2Cl4 structure.

## Properties
space-group type = No. 139
relative energy among the computed polymorphs = 0.039 eV/atom

Cell lengths 7.611, 7.611, 7.611 Å; angles 121.64, 121.64, 87.18 degrees
Positions (direct):
Cs: 0.250 0.750 0.500
Cs: 0.750 0.250 0.500
Ag: 0.000 0.000 0.000
Au: 0.500 0.500 0.000
Br: 0.271 0.271 0.000
Br: 0.729 0.729 0.000
Cl: 0.241 0.241 0.482
Cl: 0.241 0.759 0.000
Cl: 0.759 0.241 0.000
Cl: 0.759 0.759 0.518

---

Density functional theory data (PBE) for a geometry-optimized Cs2AgAuBr2Cl4 structure.

## Properties
space-group type = No. 139
relative energy among the computed polymorphs = 0.000 eV/atom

Cell lengths 7.856, 7.856, 7.856 Å; angles 123.37, 123.37, 84.26 degrees
Positions (direct):
Cs: 0.250 0.750 0.500
Cs: 0.750 0.250 0.500
Ag: 0.000 0.000 0.000
Au: 0.500 0.500 0.000
Br: 0.217 0.217 0.000
Br: 0.783 0.783 0.000
Cl: 0.275 0.275 0.550
Cl: 0.275 0.725 0.000
Cl: 0.725 0.275 0.000
Cl: 0.725 0.725 0.450

---

Density functional theory data (PBE) for a geometry-optimized Na2AgAuBr6 structure.

## Properties
space-group type = No. 87

Cell lengths 7.683, 7.683, 7.683 Å; angles 122.98, 122.98, 84.91 degrees
Positions (direct):
Na: 0.250 0.750 0.500
Na: 0.750 0.250 0.500
Ag: 0.000 0.000 0.000
Au: 0.500 0.500 0.000
Br: 0.194 0.657 0.851
Br: 0.227 0.227 0.000
Br: 0.343 0.194 0.537
Br: 0.657 0.806 0.463
Br: 0.773 0.773 0.000
Br: 0.806 0.343 0.149

---

Density functional theory data (PBE) for a geometry-optimized Rb2AgAuBr6 structure.

## Properties
space-group type = No. 14

Cell lengths 7.633, 8.314, 13.164 Å; angles 90.00, 124.73, 90.00 degrees
Positions (direct):
Rb: 0.234 0.065 0.252
Rb: 0.234 0.435 0.752
Rb: 0.766 0.565 0.248
Rb: 0.766 0.935 0.748
Ag: 0.000 0.000 0.500
Ag: 0.000 0.500 0.000
Au: 0.500 0.000 0.000
Au: 0.500 0.500 0.500
Br: 0.212 0.180 0.973
Br: 0.212 0.320 0.473
Br: 0.241 0.678 0.977
Br: 0.241 0.822 0.477
Br: 0.311 0.517 0.268
Br: 0.311 0.983 0.768
Br: 0.689 0.017 0.232
Br: 0.689 0.483 0.732
Br: 0.759 0.178 0.523
Br: 0.759 0.322 0.023
Br: 0.788 0.680 0.527
Br: 0.788 0.820 0.027

---

For each record above, in turn, the calculated V values are 33.25; 29.42; 13.88; 13.86; 15.77; 14.77; 18.98; 19.34; 20.93; 20.78; 19.38; 26.56; 24.92; 25.62; 25.27; 20.58; 19.34; 21.90; 22.35; 40.38; 21.43; 30.88; 30.36; 32.36; 30.50; 34.33 A^3/atom.
For each record above, in turn, the calculated total DFT energy (no corrections) values are -3.774; -3.423; -3.112; -3.495; -3.221; -3.439; -3.017; -2.965; -3.263; -3.150; -4.284; -4.461; -2.738; -2.834; -2.695; -3.210; -3.129; -2.954; -2.999; -2.627; -2.619; -1.655; -2.834; -2.873; -2.543; -2.674 eV/atom.